Entry from Alexandria: a relaxed structure of Ti2VPd8 (PBE).

Computed properties:
formation energy from the elements = -0.4552 eV/atom
magnetization = 0.00 Bohr magnetons per cell
E = -6.496 eV/atom

a = 3.973 Å, b = 6.340 Å, c = 7.265 Å
α = 107.93°, β = 105.87°, γ = 90.00°
Fractional coordinates of all 11 atoms:
1 Pd 0.602 0.449 0.205
2 Pd 0.856 0.806 0.712
3 V 0.500 0.000 0.000
4 Pd 0.323 0.087 0.646
5 Pd 0.398 0.551 0.795
6 Ti 0.217 0.659 0.435
7 Ti 0.783 0.341 0.565
8 Pd 0.677 0.913 0.354
9 Pd 0.040 0.735 0.080
10 Pd 0.960 0.265 0.920
11 Pd 0.144 0.194 0.288